(1)
Material: TbCe2Zr
Method: DFT, PBE
State: relaxed

```
12
Lattice="3.2350 0.0000 0.0000 -1.6175 2.8016 0.0000 0.0000 0.0000 35.9738" Properties=species:S:1:pos:R:3 pbc="T T T"
Tb 0.0000 0.0000 0.0000
Tb 0.0000 1.8677 23.9825
Tb 1.6175 0.9339 11.9912
Ce 0.0000 0.0000 15.0400
Ce 0.0000 0.0000 20.9338
Ce 0.0000 1.8677 3.0487
Ce 0.0000 1.8677 8.9426
Ce 1.6175 0.9339 27.0312
Ce 1.6175 0.9339 32.9251
Zr 0.0000 0.0000 17.9869
Zr 0.0000 1.8677 5.9956
Zr 1.6175 0.9339 29.9781
```

Results
- Final energy: -0.4396 Ry per atom
- SG: R-3m, No. 166
- ΔE_f: 0.28 eV/atom

---

(2)
Material: TbCeZr
Method: DFT, PBE
State: relaxed

```
3
Lattice="5.2749 0.0000 0.0000 -2.6375 4.5682 0.0000 0.0000 0.0000 3.4186" Properties=species:S:1:pos:R:3 pbc="T T T"
Tb 0.0000 0.0000 0.0000
Ce 2.6375 1.5227 1.7093
Zr 0.0000 3.0455 1.7093
```

Results
- Final energy: -0.4606 Ry per atom
- SG: P-6m2, No. 187
- ΔE_f: 0.10 eV/atom

---

(3)
Material: TbCe2Zr
Method: DFT, PBE
State: relaxed

```
16
Lattice="7.6688 0.0000 0.0000 0.0000 7.6688 0.0000 0.0000 0.0000 7.6688" Properties=species:S:1:pos:R:3 pbc="T T T"
Tb 0.0000 0.0000 0.0000
Tb 0.0000 3.8344 3.8344
Tb 3.8344 0.0000 3.8344
Tb 3.8344 3.8344 0.0000
Ce 1.9172 1.9172 1.9172
Ce 1.9172 1.9172 5.7516
Ce 1.9172 5.7516 1.9172
Ce 1.9172 5.7516 5.7516
Ce 5.7516 1.9172 1.9172
Ce 5.7516 1.9172 5.7516
Ce 5.7516 5.7516 1.9172
Ce 5.7516 5.7516 5.7516
Zr 0.0000 0.0000 3.8344
Zr 0.0000 3.8344 0.0000
Zr 3.8344 0.0000 0.0000
Zr 3.8344 3.8344 3.8344
```

Results
- Final energy: -0.4410 Ry per atom
- SG: Fm-3m, No. 225
- ΔE_f: 0.26 eV/atom

---

(4)
Material: TbCeZr
Method: DFT, PBE
State: relaxed

```
6
Lattice="3.8251 0.0000 0.0000 0.0000 3.8251 0.0000 0.0000 0.0000 11.3579" Properties=species:S:1:pos:R:3 pbc="T T T"
Tb 0.9563 0.9563 2.5979
Tb 2.8688 2.8688 8.7600
Ce 0.9563 0.9563 6.2754
Ce 2.8688 2.8688 5.0825
Zr 0.9563 0.9563 10.7068
Zr 2.8688 2.8688 0.6512
```

Results
- Final energy: -0.4579 Ry per atom
- SG: P4/nmm, No. 129
- ΔE_f: 0.14 eV/atom

---

(5)
Material: Ce7Tc3
Method: DFT, PBE
State: relaxed

```
20
Lattice="9.5882 0.0000 0.0000 -4.7941 8.3036 0.0000 0.0000 0.0000 6.1456" Properties=species:S:1:pos:R:3 pbc="T T T"
Ce -1.8661 4.4584 0.0000
Ce 0.0000 2.0650 1.7182
Ce -3.0058 7.2711 1.7182
Ce 1.7883 1.0325 4.7910
Ce 0.0000 5.5358 3.0951
Ce 1.8661 4.4584 0.0000
Ce 0.0000 7.6905 0.0000
Ce 4.7941 0.6131 3.0728
Ce 2.9281 3.8453 3.0728
Ce 4.7941 2.7679 0.0223
Ce 3.0058 7.2711 1.7182
Ce 7.7999 1.0325 4.7910
Ce 4.7941 6.2386 4.7910
Ce 6.6602 3.8453 3.0728
Tc 0.0000 3.0181 4.5731
Tc -2.1803 6.7946 4.5731
Tc 2.6138 1.5091 1.5003
Tc 2.1803 6.7946 4.5731
Tc 6.9744 1.5091 1.5003
Tc 4.7941 5.2855 1.5003
```

Results
- Final energy: -0.5394 Ry per atom
- SG: P6_3mc, No. 186
- ΔE_f: -0.08 eV/atom

---

(6)
Material: CeTc3
Method: DFT, PBE
State: relaxed

```
12
Lattice="4.7429 -2.5972 0.0000 4.7429 2.5972 0.0000 -2.4024 0.0000 8.9249" Properties=species:S:1:pos:R:3 pbc="T T T"
Ce 0.0000 0.0000 0.0000
Ce 0.3238 0.0000 3.8353
Ce 6.7596 0.0000 5.0897
Tc 2.5374 1.3748 2.1438
Tc 3.3639 0.0000 0.0506
Tc 4.5460 1.3748 6.7811
Tc 2.2175 0.0000 6.6055
Tc 3.5417 0.0000 4.4625
Tc 4.8659 0.0000 2.3194
Tc 2.5374 -1.3748 2.1438
Tc 3.7195 0.0000 8.8743
Tc 4.5460 -1.3748 6.7811
```

Results
- Final energy: -0.6797 Ry per atom
- SG: C2/m, No. 12
- ΔE_f: 0.01 eV/atom

---

(7)
Material: CeTc6
Method: DFT, PBE
State: relaxed

```
28
Lattice="8.5559 0.0000 0.0000 0.0000 5.1443 0.0000 0.0000 0.0000 10.7850" Properties=species:S:1:pos:R:3 pbc="T T T"
Ce 1.9782 1.2861 0.5635
Ce 2.2998 3.8582 5.9560
Ce 6.2561 1.2861 4.8289
Ce 6.5777 3.8582 10.2214
Tc 0.5601 0.0441 3.2800
Tc 0.5601 2.5281 3.2800
Tc 0.6680 3.8582 0.7785
Tc 0.7218 1.2861 5.6474
Tc 1.2506 3.8582 9.1368
Tc 1.6258 1.2861 8.1719
Tc 2.6521 3.8582 2.7794
Tc 3.0273 1.2861 3.7443
Tc 3.5561 3.8582 0.2549
Tc 3.6100 1.2861 6.1710
Tc 3.7178 2.6162 8.6725
Tc 3.7178 5.1002 8.6725
Tc 4.8381 0.0441 2.1125
Tc 4.8381 2.5281 2.1125
Tc 4.9459 3.8582 4.6140
Tc 4.9997 1.2861 10.5301
Tc 5.5286 3.8582 7.0406
Tc 5.9038 1.2861 8.0055
Tc 6.9300 3.8582 2.6130
Tc 7.3052 1.2861 1.6481
Tc 7.8340 3.8582 5.1376
Tc 7.8879 1.2861 10.0064
Tc 7.9957 2.6162 7.5050
Tc 7.9957 5.1002 7.5050
```

Results
- Final energy: -0.7122 Ry per atom
- SG: Pnma, No. 62
- ΔE_f: 0.04 eV/atom

---

(8)
Material: Ce5Tc2
Method: DFT, PBE
State: relaxed

```
14
Lattice="7.4301 -3.4454 0.0000 7.4301 3.4454 0.0000 -0.1869 0.0000 6.5575" Properties=species:S:1:pos:R:3 pbc="T T T"
Ce 7.2899 2.9922 4.9182
Ce 3.2837 0.2161 5.0483
Ce 3.3772 -0.2161 1.7695
Ce 6.3567 0.9158 0.0143
Ce 8.4101 0.9158 3.2645
Ce 6.2632 -0.9158 3.2931
Ce 8.3166 -0.9158 6.5433
Ce 11.2961 0.2161 4.7880
Ce 11.3896 -0.2161 1.5092
Ce 7.3834 -2.9922 1.6394
Tc 5.1364 1.6184 3.0065
Tc 9.6304 1.6184 0.2723
Tc 5.0429 -1.6184 6.2852
Tc 9.5369 -1.6184 3.5511
```

Results
- Final energy: -0.5315 Ry per atom
- SG: C2/c, No. 15
- ΔE_f: -0.03 eV/atom

---

(9)
Material: CeTc5
Method: DFT, PBE
State: relaxed

```
12
Lattice="4.1188 0.0000 0.0000 0.0000 12.0167 0.0000 0.0000 0.0000 4.0603" Properties=species:S:1:pos:R:3 pbc="T T T"
Ce 0.0000 0.0000 0.0000
Ce 2.0594 6.0083 0.0000
Tc 0.0000 2.2048 2.0302
Tc 0.0000 3.7391 0.0000
Tc 0.0000 6.0083 2.0302
Tc 0.0000 8.2776 0.0000
Tc 0.0000 9.8119 2.0302
Tc 2.0594 0.0000 2.0302
Tc 2.0594 2.2693 0.0000
Tc 2.0594 3.8036 2.0302
Tc 2.0594 8.2131 2.0302
Tc 2.0594 9.7474 0.0000
```

Results
- Final energy: -0.6982 Ry per atom
- SG: Cmmm, No. 65
- ΔE_f: 0.13 eV/atom

---

(10)
Material: CeTc6
Method: DFT, PBE
State: relaxed

```
14
Lattice="6.7864 0.0000 0.0000 0.0000 6.7864 0.0000 0.0000 0.0000 6.7864" Properties=species:S:1:pos:R:3 pbc="T T T"
Ce 0.0000 0.0000 0.0000
Ce 3.3932 3.3932 3.3932
Tc 0.0000 1.6966 3.3932
Tc 0.0000 3.3932 1.6966
Tc 0.0000 3.3932 5.0898
Tc 0.0000 5.0898 3.3932
Tc 1.6966 0.0000 3.3932
Tc 1.6966 3.3932 0.0000
Tc 3.3932 0.0000 1.6966
Tc 3.3932 0.0000 5.0898
Tc 3.3932 1.6966 0.0000
Tc 3.3932 5.0898 0.0000
Tc 5.0898 0.0000 3.3932
Tc 5.0898 3.3932 0.0000
```

Results
- Final energy: -0.6539 Ry per atom
- SG: Im-3m, No. 229
- ΔE_f: 0.84 eV/atom

---

(11)
Material: Ce2Tc3
Method: DFT, PBE
State: relaxed

```
10
Lattice="2.9769 -5.0587 0.0000 2.9769 5.0587 0.0000 0.0000 0.0000 6.9100" Properties=species:S:1:pos:R:3 pbc="T T T"
Ce 2.9769 3.4243 6.2362
Ce 2.9769 1.6344 2.7812
Ce 2.9769 -1.6344 4.1288
Ce 2.9769 -3.4243 0.6738
Tc 0.0000 0.0000 3.4550
Tc 1.4885 1.0214 5.1825
Tc 1.4885 -1.0214 1.7275
Tc 2.9769 0.0000 0.0000
Tc 4.4654 1.0214 5.1825
Tc 4.4654 -1.0214 1.7275
```

Results
- Final energy: -0.6334 Ry per atom
- SG: Cmce, No. 64
- ΔE_f: -0.03 eV/atom

---

(12)
Material: CeTc3
Method: DFT, PBE
State: relaxed

```
8
Lattice="3.6899 0.0000 0.0000 0.0000 3.6899 0.0000 0.0000 0.0000 11.2005" Properties=species:S:1:pos:R:3 pbc="T T T"
Ce 0.0000 0.0000 0.0000
Ce 1.8449 1.8449 5.6003
Tc 0.0000 0.0000 3.1328
Tc 0.0000 0.0000 5.6003
Tc 0.0000 0.0000 8.0678
Tc 1.8449 1.8449 0.0000
Tc 1.8449 1.8449 2.4675
Tc 1.8449 1.8449 8.7330
```

Results
- Final energy: -0.6381 Ry per atom
- SG: I4/mmm, No. 139
- ΔE_f: 0.58 eV/atom